a) A plane-wave DFT calculation with PBE was carried out for a geometry-optimized Fe2AgGeAu structure.

Properties
SG: No. 123

a b c (Å): 4.450 4.772 4.450
angles (deg): 90.00 90.00 90.00
Site moments in Bohr magnetons follow the coordinates.
Atoms (fractional coordinates):
Fe 0.000 0.000 0.500  2.53
Au 0.500 0.500 0.500  -0.01
Ge 0.000 0.000 0.000  -0.13
Fe 0.500 0.000 0.000  2.82
Ag 0.000 0.500 0.000  -0.01

---

b) A plane-wave DFT calculation with PBE was carried out for a geometry-optimized Fe2AgGeAu structure.

Properties
SG: No. 123

a b c (Å): 4.891 4.707 4.891
angles (deg): 90.00 90.00 90.00
Site moments in Bohr magnetons follow the coordinates.
Atoms (fractional coordinates):
Au 0.000 0.000 0.000  0.07
Fe 0.500 0.000 0.000  2.90
Fe 0.000 0.000 0.500  3.40
Ag 0.500 0.500 0.500  -0.02
Ge 0.000 0.500 0.000  0.02

---

a) (303 meV per atom below the next structure)

---

a) A plane-wave DFT calculation with PBE was carried out for a geometry-optimized FeAgPdAu structure.

Properties
SG: No. 99

a b c (Å): 2.863 2.863 7.782
angles (deg): 90.00 90.00 90.00
Site moments in Bohr magnetons follow the coordinates.
Atoms (fractional coordinates):
Fe 0.146 0.854 0.233  3.08
Ag 0.146 0.854 0.714  0.01
Pd 0.646 0.354 0.448  0.28
Au 0.646 0.354 0.993  0.06

---

b) A plane-wave DFT calculation with PBE was carried out for a geometry-optimized FeAgPdAu structure.

Properties
SG: No. 216

a b c (Å): 4.501 4.501 4.501
angles (deg): 60.00 60.00 60.00
Site moments in Bohr magnetons follow the coordinates.
Atoms (fractional coordinates):
Ag 0.250 0.250 0.250  0.01
Pd 0.000 0.000 0.000  0.20
Au 0.500 0.500 0.500  0.05
Fe 0.750 0.750 0.750  3.22

---

a) (114 meV per atom below the next structure)